Below is a relaxed RbSiPb2O4 crystal, with properties calculated at the PBE-GGA level.

Results
Its density of states at the Fermi level is 0.19 states/eV per atom. As for the calculated volume: 18.7 A^3/atom. The value obtained for the total DFT energy (no corrections) is -46.67 eV per formula unit. The formation energy from raw total energies is -1628 meV/atom. The calculation puts the spin magnetization at 0.00 Bohr magnetons per cell.

extended XYZ file:
```
8
Lattice="5.604 -0.528 0.000 -0.991 5.541 0.000 -2.307 -2.507 4.904" Properties=species:S:1:pos:R:3 pbc="T T T"
Rb 0.000 0.000 0.595
Si 0.000 0.000 4.718
Pb 2.802 -0.264 2.765
Pb -0.495 2.770 2.765
O 0.913 0.993 3.710
O 1.270 3.461 0.677
O 3.343 1.553 0.677
O -0.913 -0.993 3.710
```